Entry 1:
Dy2MnIr3 | PBE-GGA | relaxed

Structure (POSCAR):
```
Dy2MnIr3
1.0
-1.580 0.107 -5.226
-3.737 -0.129 3.980
-0.079 8.266 0.193
Ir Dy Mn
6 4 2
Direct
0.831 0.662 0.750 Ir
0.662 0.831 0.250 Ir
0.169 0.831 0.250 Ir
0.169 0.338 0.250 Ir
0.831 0.169 0.750 Ir
0.338 0.169 0.750 Ir
0.333 0.667 0.936 Dy
0.667 0.333 0.064 Dy
0.333 0.667 0.564 Dy
0.667 0.333 0.436 Dy
0.000 0.000 0.000 Mn
0.000 0.000 0.500 Mn
```

Summary:
E_form ... -0.7170 eV/atom
Volume ... 213.55 Å³ per cell

Entry 2:
DyMnIr | PBE-GGA | relaxed

Structure (POSCAR):
```
DyMnIr
1.0
-4.648 -0.599 2.249
-3.372 -3.569 -1.913
-0.910 -4.236 2.998
Dy Ir Mn
2 2 2
Direct
0.875 0.375 0.375 Dy
0.125 0.625 0.625 Dy
0.500 0.500 0.000 Ir
0.500 0.000 0.500 Ir
0.000 0.000 0.000 Mn
0.500 0.000 0.000 Mn
```

Summary:
E_form ... -0.5305 eV/atom
Volume ... 105.12 Å³ per cell

Entry 3:
Dy3MnIr8 | PBE-GGA | relaxed

Structure (POSCAR):
```
Dy3MnIr8
1.0
5.100 0.000 1.513
2.326 4.539 1.513
0.045 0.028 9.202
Ir Dy Mn
8 3 1
Direct
0.563 0.563 0.812 Ir
0.063 0.563 0.812 Ir
0.061 0.061 0.317 Ir
0.563 0.063 0.812 Ir
0.061 0.560 0.317 Ir
0.312 0.312 0.065 Ir
0.560 0.061 0.317 Ir
0.812 0.812 0.565 Ir
0.005 0.005 0.984 Dy
0.624 0.624 0.128 Dy
0.496 0.496 0.511 Dy
0.130 0.130 0.611 Mn
```

Summary:
E_form ... -0.5791 eV/atom
Volume ... 212.59 Å³ per cell